Record 1
# YSc5Cd3

A relaxed structure of YSc5Cd3 (PBE-GGA, the Alexandria database).

Properties
DOS(E_F): 13.8 states/eV per cell
ΔH_f (0 K): -0.18 eV per atom
uncorrected energy: -84.93 eV for the cell shown

Unit cell a=8.7086 b=8.7086 c=6.5480 alpha=90.00 beta=90.00 gamma=120.00
Space group P6_3/mcm (No. 193)
Symmetry-distinct sites (fractional):
Y (0.0000, 0.0000, 0.0000) x2
Sc (0.0000, 0.3404, 0.2500) x6
Sc (0.3333, 0.6667, 0.0000) x4
Cd (0.0000, 0.3328, 0.7500) x6

Record 2
# Ca2Er4Pb3O2

A relaxed structure of Ca2Er4Pb3O2 (PBE-GGA, the Alexandria database).

Properties
DOS(E_F): 3.2 states/eV per cell
uncorrected energy: -117.90 eV for the cell shown

Unit cell a=4.692 b=4.692 c=25.279 alpha=90.00 beta=90.00 gamma=90.00
Space group I4/mmm (No. 139)
Symmetry-distinct sites (fractional):
Ca (0.000, 0.000, 0.195) x4
Er (0.000, 0.500, 0.085) x8
Pb (0.000, 0.000, 0.326) x4
Pb (0.000, 0.000, 0.500) x2
O (0.000, 0.000, 0.093) x4

Record 3
# Zr5Fe3Sb

A relaxed structure of Zr5Fe3Sb (PBE-GGA, the Alexandria database).

Properties
DOS(E_F): 18.4 states/eV per cell
uncorrected energy: -144.90 eV for the cell shown

Unit cell a=8.3009 b=8.3009 c=5.8426 alpha=90.00 beta=90.00 gamma=120.00
Space group P6_3/mcm (No. 193)
Symmetry-distinct sites (fractional):
Zr (0.0000, 0.3031, 0.2500) x6
Zr (0.3333, 0.6667, 0.0000) x4
Fe (0.0000, 0.4037, 0.7500) x6
Sb (0.0000, 0.0000, 0.0000) x2

Record 4
# Sc2TlH

A relaxed structure of Sc2TlH (PBE-GGA, the Alexandria database).

Properties
DOS(E_F): 4.3 states/eV per cell
energy above the most stable polymorph in this dataset: 0.000 eV/atom
uncorrected energy: -39.78 eV for the cell shown

Unit cell a=4.241 b=4.241 c=8.028 alpha=90.00 beta=90.00 gamma=90.00
Space group P4/nmm (No. 129, origin choice 2)
Symmetry-distinct sites (fractional):
Sc (0.250, 0.250, 0.158) x2
Sc (0.250, 0.750, 0.500) x2
Tl (0.250, 0.250, 0.786) x2
H (0.250, 0.250, 0.420) x2

Record 5
# Zr2ScCd

A relaxed structure of Zr2ScCd (PBE-GGA, the Alexandria database).

Properties
DOS(E_F): 3.6 states/eV per cell
energy above the most stable polymorph in this dataset: 0.077 eV/atom
ΔH_f (0 K): -0.04 eV per atom
uncorrected energy: -24.51 eV for the cell shown

Unit cell a=3.157 b=5.063 c=5.676 alpha=90.00 beta=90.00 gamma=90.00
Space group Pmm2 (No. 25)
Symmetry-distinct sites (fractional):
Zr (0.000, 0.000, 0.000) x1
Zr (0.500, 0.500, 0.136) x1
Sc (0.500, 0.000, 0.498) x1
Cd (0.000, 0.500, 0.650) x1

Record 6
# CoReSe2N

A relaxed structure of CoReSe2N (PBE-GGA, the Alexandria database).

Properties
DOS(E_F): 4.0 states/eV per cell
energy above the most stable polymorph in this dataset: 0.206 eV/atom
uncorrected energy: -30.28 eV for the cell shown

Unit cell a=4.837 b=4.837 c=3.313 alpha=90.00 beta=90.00 gamma=90.00
Space group P4/mmm (No. 123)
Symmetry-distinct sites (fractional):
Co (0.000, 0.000, 0.000) x1
Re (0.500, 0.500, 0.500) x1
Se (0.000, 0.500, 0.000) x2
N (0.000, 0.000, 0.500) x1

Record 7
# LiPm2Si3

A relaxed structure of LiPm2Si3 (PBE-GGA, the Alexandria database).

Properties
DOS(E_F): 14.8 states/eV per cell
energy above the most stable polymorph in this dataset: 0.000 eV/atom
uncorrected energy: -253.70 eV for the cell shown

Unit cell a=8.230 b=8.303 c=14.297 alpha=90.00 beta=90.00 gamma=90.00
Space group Fmmm (No. 69)
Symmetry-distinct sites (fractional):
Li (0.000, 0.000, 0.166) x8
Pm (0.243, 0.000, 0.500) x8
Pm (0.250, 0.250, 0.250) x8
Si (0.000, 0.000, 0.334) x8
Si (0.000, 0.249, 0.083) x16

Record 8
# HfMgZnRu

A relaxed structure of HfMgZnRu (PBE-GGA, the Alexandria database).

Properties
DOS(E_F): 10.7 states/eV per cell
ΔH_f (0 K): -0.24 eV per atom
uncorrected energy: -92.27 eV for the cell shown

Unit cell a=6.450 b=6.450 c=6.450 alpha=90.00 beta=90.00 gamma=90.00
Space group F-43m (No. 216)
Symmetry-distinct sites (fractional):
Hf (0.000, 0.000, 0.000) x4
Mg (0.000, 0.000, 0.500) x4
Zn (0.250, 0.250, 0.750) x4
Ru (0.250, 0.250, 0.250) x4

> What is the formula in the seventh record?

LiPm2Si3

Please write out number 7 again, unchanged.
# LiPm2Si3

A relaxed structure of LiPm2Si3 (PBE-GGA, the Alexandria database).

Properties
DOS(E_F): 14.8 states/eV per cell
energy above the most stable polymorph in this dataset: 0.000 eV/atom
uncorrected energy: -253.70 eV for the cell shown

Unit cell a=8.230 b=8.303 c=14.297 alpha=90.00 beta=90.00 gamma=90.00
Space group Fmmm (No. 69)
Symmetry-distinct sites (fractional):
Li (0.000, 0.000, 0.166) x8
Pm (0.243, 0.000, 0.500) x8
Pm (0.250, 0.250, 0.250) x8
Si (0.000, 0.000, 0.334) x8
Si (0.000, 0.249, 0.083) x16

> The highest DOS(E_F) belongs to which entry?

Zr5Fe3Sb

> Which formula does entry 1 have?

YSc5Cd3